TbNi3As2, relaxed, DFT PBE; symmetry = No. 164; V = 15.11 Å³/atom; total magnetization = 0.001 μB/atom; E_tot = -5.785 eV per atom
1.0
4.020 0.000 0.000
-2.010 3.482 0.000
0.000 0.000 6.479
Ni As Tb
3 2 1
Direct
0.000 0.000 0.500 Ni
0.333 0.667 0.336 Ni
0.667 0.333 0.664 Ni
0.333 0.667 0.718 As
0.667 0.333 0.282 As
0.000 0.000 0.000 Tb